## Rb2HCl (PBE-GGA)

Data for crystalline Rb2HCl at its relaxed geometry.

Offset from the most stable computed form, meV/atom: 75

abc: 7.735 7.735 7.735
angles: 90.00 90.00 90.00
Space group Fm-3m (No. 225)
Asymmetric unit:
Rb1 0.250 0.250 0.250 [8 per cell]
H1 0.000 0.000 0.000 [4 per cell]
Cl1 0.000 0.000 0.500 [4 per cell]

## AcNd2ErTm4 (PBE-GGA)

Data for crystalline AcNd2ErTm4 at its relaxed geometry.

abc: 13.739 13.413 6.875
angles: 90.00 120.02 90.00
Space group C2/c (No. 15)
Asymmetric unit:
Ac1 0.250 0.250 0.000 [4 per cell]
Nd1 0.000 0.000 0.000 [4 per cell]
Nd2 0.250 0.250 0.500 [4 per cell]
Er1 0.000 0.500 0.000 [4 per cell]
Tm1 0.000 0.256 0.012 [8 per cell]
Tm2 0.244 0.492 0.493 [8 per cell]

## Fe2RuPb (PBE-GGA)

Data for crystalline Fe2RuPb at its relaxed geometry.

abc: 3.843 3.843 18.611
angles: 90.00 90.00 90.00
Space group I-42d (No. 122)
Asymmetric unit:
Fe1 0.209 0.250 0.125 [8 per cell]
Ru1 0.000 0.000 0.000 [4 per cell]
Pb1 0.000 0.000 0.500 [4 per cell]

## Ta2CrIn (PBE-GGA)

Data for crystalline Ta2CrIn at its relaxed geometry.

abc: 4.066 4.066 8.562
angles: 90.00 90.00 90.00
Space group I-4m2 (No. 119)
Asymmetric unit:
Ta1 0.000 0.000 0.000 [2 per cell]
Ta2 0.000 0.500 0.250 [2 per cell]
Cr1 0.000 0.500 0.750 [2 per cell]
In1 0.000 0.000 0.500 [2 per cell]

| no. | E (eV per atom) |
| --- | --- |
| 1 | -2.756 |
| 2 | -4.075 |
| 3 | -6.691 |
| 4 | -8.670 |